1.
Crystalline NaSmReO6 at its relaxed geometry. Source: Alexandria via LeMat-Bulk, functional PBE-GGA.

POSCAR file:
```
NaSmReO6
1.0
-4.940 1.280 -2.542
-4.934 -1.827 1.723
-0.571 3.664 2.281
O Sm Re Na
6 1 1 1
Direct
0.084 0.288 0.308
0.030 0.529 0.853
0.643 0.104 0.276
0.573 0.405 0.803
0.232 0.670 0.357
0.440 0.970 0.727
0.625 0.705 0.208
0.357 0.340 0.580
0.016 0.990 0.887
```

Space group = No. 1
Crystal system = triclinic

***

2.
Crystalline NaSm2ReO8 at its relaxed geometry. Source: Alexandria via LeMat-Bulk, functional PBE-GGA.

POSCAR file:
```
NaSm2ReO8
1.0
5.269 0.067 -0.046
0.047 4.258 0.535
-0.028 0.853 6.987
Sm O Na Re
2 8 1 1
Direct
0.512 0.385 0.785
0.488 0.615 0.215
0.299 0.184 0.087
0.225 0.775 0.877
0.474 0.171 0.501
0.775 0.225 0.123
0.701 0.816 0.913
0.029 0.680 0.239
0.526 0.829 0.499
0.971 0.320 0.761
0.000 0.000 0.500
0.000 0.000 0.000
```

Space group = No. 2
Crystal system = triclinic

***

3.
Crystalline Na3Sm3ReO8 at its relaxed geometry. Source: Alexandria via LeMat-Bulk, functional PBE-GGA.

POSCAR file:
```
Na3Sm3ReO8
1.0
6.881 0.000 0.000
-3.441 5.960 -0.020
0.000 -3.953 5.594
Sm Na O Re
3 3 8 1
Direct
0.000 0.500 0.500
0.500 0.500 0.500
0.500 0.000 0.500
0.500 0.500 0.000
0.000 0.500 0.000
0.000 0.000 0.000
0.784 0.016 0.300
0.262 0.523 0.285
0.216 0.432 0.700
0.232 0.016 0.300
0.768 0.984 0.700
0.738 0.477 0.715
0.784 0.568 0.300
0.216 0.984 0.700
0.000 0.000 0.500
```

Space group = No. 166
Crystal system = trigonal

***

4.
Crystalline Na2SrReO5 at its relaxed geometry. Source: Alexandria via LeMat-Bulk, functional PBE-GGA.

POSCAR file:
```
Na2SrReO5
1.0
3.827 0.000 0.000
0.000 5.710 0.000
-1.914 -2.855 5.708
Sr O Na Re
1 5 2 1
Direct
0.000 0.500 0.000
0.618 0.360 0.237
0.382 0.123 0.763
0.382 0.640 0.763
0.618 0.877 0.237
0.000 0.000 0.000
0.777 0.777 0.555
0.223 0.223 0.445
0.500 0.000 0.000
```

Fermi-level density of states = 0.136 states/eV per atom
Space group = No. 71
Crystal system = orthorhombic

***

5.
Crystalline Na3Sr2ReO6 at its relaxed geometry. Source: Alexandria via LeMat-Bulk, functional PBE-GGA.

POSCAR file:
```
Na3Sr2ReO6
1.0
6.053 -0.039 0.018
-3.058 5.224 0.018
-0.982 -1.701 5.557
O Sr Re Na
6 2 1 3
Direct
0.342 0.069 0.215
0.069 0.342 0.215
0.786 0.786 0.204
0.931 0.658 0.785
0.214 0.214 0.796
0.658 0.931 0.785
0.669 0.331 0.000
0.331 0.669 0.000
0.000 0.000 0.000
0.856 0.144 0.500
0.500 0.500 0.500
0.144 0.856 0.500
```

Fermi-level density of states = 0.675 states/eV per atom
Space group = No. 12
Crystal system = monoclinic

***

6.
Crystalline NaSrReO4 at its relaxed geometry. Source: Alexandria via LeMat-Bulk, functional PBE-GGA.

POSCAR file:
```
NaSrReO4
1.0
-3.262 4.517 -3.393
-6.510 -0.247 -0.341
-3.601 4.455 3.121
Na O Re Sr
1 4 1 1
Direct
0.500 0.500 0.500
0.361 0.916 0.361
0.361 0.361 0.916
0.916 0.361 0.361
0.361 0.361 0.361
0.250 0.250 0.250
0.750 0.750 0.750
```

Fermi-level density of states = 0.148 states/eV per atom
Space group = No. 216
Crystal system = cubic

***

7.
Crystalline Na4SrRe3O12 at its relaxed geometry. Source: Alexandria via LeMat-Bulk, functional PBE-GGA.

POSCAR file:
```
Na4SrRe3O12
1.0
-1.082 4.946 -4.921
-6.167 -1.782 2.941
4.332 2.530 4.968
O Re Na Sr
12 3 4 1
Direct
0.278 0.278 0.000
0.250 0.500 0.750
0.722 0.722 0.000
0.750 0.250 0.500
0.000 0.722 0.722
0.500 0.750 0.250
0.500 0.250 0.750
0.000 0.278 0.278
0.250 0.750 0.500
0.278 0.000 0.278
0.750 0.500 0.250
0.722 0.000 0.722
0.500 0.000 0.500
0.500 0.500 0.000
0.000 0.500 0.500
0.000 0.500 0.000
0.500 0.000 0.000
0.000 0.000 0.500
0.500 0.500 0.500
0.000 0.000 0.000
```

Fermi-level density of states = 0.268 states/eV per atom
Space group = No. 229
Crystal system = cubic

***

8.
Crystalline NaTaReO6 at its relaxed geometry. Source: Alexandria via LeMat-Bulk, functional PBE-GGA.

POSCAR file:
```
NaTaReO6
1.0
-6.593 1.498 2.963
1.370 -4.708 5.428
4.749 5.462 -1.389
O Na Re Ta
12 2 2 2
Direct
0.439 0.067 0.247
0.439 0.680 0.247
0.192 0.933 0.753
0.561 0.320 0.753
0.808 0.680 0.247
0.561 0.933 0.753
0.180 0.930 0.360
0.449 0.699 0.899
0.808 0.067 0.247
0.551 0.301 0.101
0.192 0.320 0.753
0.820 0.070 0.640
0.952 0.702 0.904
0.048 0.298 0.096
0.500 0.000 0.000
0.500 0.500 0.000
0.500 0.000 0.500
0.000 0.000 0.500
```

Fermi-level density of states = 0.245 states/eV per atom
Space group = No. 74
Crystal system = orthorhombic

***

no.,theoretical density (g/cm3),formation energy (no corrections) (eV/atom)
1,6.663,-1.933
2,6.863,-2.174
3,6.053,-2.372
4,5.321,-1.940
5,4.983,-1.946
6,3.052,-1.427
7,5.700,-1.655
8,5.720,-2.048